1.
Entry from OQMD via LeMat-Bulk: NiBiOs after structural relaxation (GGA-PBE).

## Properties
Total DFT energy (no corrections) ... -6.085 eV per atom

Unit cell a=6.0088 b=6.0088 c=6.0088 alpha=90.00 beta=90.00 gamma=90.00
Last column: nearest neighbours and their distance in Å.
Space group F-43m (No. 216)
One atom of each set of equivalent atoms:
Ni 0.0000 0.0000 0.0000 [4 per cell]  4 Os 2.60, 4 Bi 2.60
Bi 0.2500 0.2500 0.7500 [4 per cell]  4 Ni 2.60
Os 0.2500 0.2500 0.2500 [4 per cell]  4 Ni 2.60

2.
Entry from OQMD via LeMat-Bulk: NiBiOsPd after structural relaxation (GGA-PBE).

## Properties
Total DFT energy (no corrections) ... -5.869 eV per atom

Unit cell a=6.4266 b=6.4266 c=6.4266 alpha=90.00 beta=90.00 gamma=90.00
Last column: nearest neighbours and their distance in Å.
Space group F-43m (No. 216)
One atom of each set of equivalent atoms:
Ni 0.0000 0.0000 0.0000 [4 per cell]  4 Os 2.78, 4 Bi 2.78
Bi 0.2500 0.2500 0.7500 [4 per cell]  4 Ni 2.78, 4 Pd 2.78
Os 0.2500 0.2500 0.2500 [4 per cell]  4 Ni 2.78, 4 Pd 2.78
Pd 0.0000 0.0000 0.5000 [4 per cell]  4 Bi 2.78, 4 Os 2.78

3.
Entry from OQMD via LeMat-Bulk: NiBiOsPt after structural relaxation (GGA-PBE).

## Properties
Total DFT energy (no corrections) ... -6.059 eV per atom

Unit cell a=6.4662 b=6.4662 c=6.4662 alpha=90.00 beta=90.00 gamma=90.00
Last column: nearest neighbours and their distance in Å.
Space group F-43m (No. 216)
One atom of each set of equivalent atoms:
Ni 0.0000 0.0000 0.0000 [4 per cell]  4 Os 2.80, 4 Bi 2.80
Bi 0.2500 0.2500 0.7500 [4 per cell]  4 Ni 2.80, 4 Pt 2.80
Os 0.2500 0.2500 0.2500 [4 per cell]  4 Ni 2.80, 4 Pt 2.80
Pt 0.0000 0.0000 0.5000 [4 per cell]  4 Bi 2.80, 4 Os 2.80

4.
Entry from OQMD via LeMat-Bulk: NiBiPd2 after structural relaxation (GGA-PBE).

## Properties
Total DFT energy (no corrections) ... -5.072 eV per atom

Unit cell a=6.4562 b=6.4562 c=6.4562 alpha=90.00 beta=90.00 gamma=90.00
Last column: nearest neighbours and their distance in Å.
Space group F-43m (No. 216)
One atom of each set of equivalent atoms:
Ni 0.0000 0.0000 0.0000 [4 per cell]  4 Bi 2.80, 4 Pd 2.80
Bi 0.2500 0.2500 0.7500 [4 per cell]  4 Ni 2.80, 4 Pd 2.80
Pd 0.0000 0.0000 0.5000 [4 per cell]  4 Pd 2.80, 4 Bi 2.80
Pd 0.2500 0.2500 0.2500 [4 per cell]  4 Ni 2.80, 4 Pd 2.80

5.
Entry from OQMD via LeMat-Bulk: NiBi3Pd after structural relaxation (GGA-PBE).

## Properties
Total DFT energy (no corrections) ... -4.222 eV per atom

Unit cell a=5.0933 b=5.0933 c=5.0933 alpha=90.00 beta=90.00 gamma=90.00
Last column: nearest neighbours and their distance in Å.
Space group Pm-3m (No. 221)
One atom of each set of equivalent atoms:
Ni 0.0000 0.0000 0.0000 [1 per cell]  6 Bi 2.55
Bi 0.0000 0.0000 0.5000 [3 per cell]  2 Ni 2.55
Pd 0.5000 0.5000 0.5000 [1 per cell]  12 Bi 3.60

6.
Entry from OQMD via LeMat-Bulk: Ni2BiPd after structural relaxation (GGA-PBE).

## Properties
Total DFT energy (no corrections) ... -4.995 eV per atom

Unit cell a=6.2876 b=6.2876 c=6.2876 alpha=90.00 beta=90.00 gamma=90.00
Last column: nearest neighbours and their distance in Å.
Space group F-43m (No. 216)
One atom of each set of equivalent atoms:
Ni 0.0000 0.0000 0.0000 [4 per cell]  4 Ni 2.72, 4 Pd 2.72
Ni 0.2500 0.2500 0.2500 [4 per cell]  4 Bi 2.72, 4 Ni 2.72
Bi 0.0000 0.0000 0.5000 [4 per cell]  4 Ni 2.72, 4 Pd 2.72
Pd 0.2500 0.2500 0.7500 [4 per cell]  4 Bi 2.72, 4 Ni 2.72

7.
Entry from OQMD via LeMat-Bulk: NiBiPd after structural relaxation (GGA-PBE).

## Properties
Total DFT energy (no corrections) ... -4.987 eV per atom

Unit cell a=6.1038 b=6.1038 c=6.1038 alpha=90.00 beta=90.00 gamma=90.00
Last column: nearest neighbours and their distance in Å.
Space group F-43m (No. 216)
One atom of each set of equivalent atoms:
Ni 0.0000 0.0000 0.0000 [4 per cell]  4 Bi 2.64, 4 Pd 2.64
Bi 0.2500 0.2500 0.7500 [4 per cell]  4 Ni 2.64
Pd 0.2500 0.2500 0.2500 [4 per cell]  4 Ni 2.64

8.
Entry from OQMD via LeMat-Bulk: NiBiPdPt after structural relaxation (GGA-PBE).

## Properties
Total DFT energy (no corrections) ... -5.237 eV per atom

Unit cell a=6.4593 b=6.4593 c=6.4593 alpha=90.00 beta=90.00 gamma=90.00
Last column: nearest neighbours and their distance in Å.
Space group F-43m (No. 216)
One atom of each set of equivalent atoms:
Ni 0.0000 0.0000 0.0000 [4 per cell]  4 Bi 2.80, 4 Pt 2.80
Bi 0.2500 0.2500 0.7500 [4 per cell]  4 Ni 2.80, 4 Pd 2.80
Pd 0.0000 0.0000 0.5000 [4 per cell]  4 Bi 2.80, 4 Pt 2.80
Pt 0.2500 0.2500 0.2500 [4 per cell]  4 Ni 2.80, 4 Pd 2.80

9.
Entry from OQMD via LeMat-Bulk: ScNiBiPd after structural relaxation (GGA-PBE).

## Properties
Total DFT energy (no corrections) ... -5.606 eV per atom

Unit cell a=6.6149 b=6.6149 c=6.6149 alpha=90.00 beta=90.00 gamma=90.00
Last column: nearest neighbours and their distance in Å.
Space group F-43m (No. 216)
One atom of each set of equivalent atoms:
Sc 0.0000 0.0000 0.0000 [4 per cell]  4 Bi 2.86, 4 Pd 2.86
Ni 0.0000 0.0000 0.5000 [4 per cell]  4 Pd 2.86, 4 Bi 2.86
Bi 0.2500 0.2500 0.2500 [4 per cell]  4 Ni 2.86, 4 Sc 2.86
Pd 0.2500 0.2500 0.7500 [4 per cell]  4 Ni 2.86, 4 Sc 2.86

10.
Entry from OQMD via LeMat-Bulk: ScNiBiPd after structural relaxation (GGA-PBE).

## Properties
Total DFT energy (no corrections) ... -5.754 eV per atom

Unit cell a=6.6055 b=6.6055 c=6.6055 alpha=90.00 beta=90.00 gamma=90.00
Last column: nearest neighbours and their distance in Å.
Space group F-43m (No. 216)
One atom of each set of equivalent atoms:
Sc 0.0000 0.0000 0.0000 [4 per cell]  4 Ni 2.86, 4 Pd 2.86
Ni 0.2500 0.2500 0.7500 [4 per cell]  4 Bi 2.86, 4 Sc 2.86
Bi 0.0000 0.0000 0.5000 [4 per cell]  4 Ni 2.86, 4 Pd 2.86
Pd 0.2500 0.2500 0.2500 [4 per cell]  4 Bi 2.86, 4 Sc 2.86

11.
Entry from OQMD via LeMat-Bulk: Sc2NiBi2Pd after structural relaxation (GGA-PBE).

## Properties
Total DFT energy (no corrections) ... -5.983 eV per atom

Unit cell a=7.8350 b=4.5122 c=14.9889 alpha=90.00 beta=99.86 gamma=90.00
Last column: nearest neighbours and their distance in Å.
Space group Pm (No. 6)
One atom of each set of equivalent atoms:
Sc 0.0000 0.0000 0.0000 [1 per cell]  1 Ni 2.71, 3 Pd 2.76-2.77
Sc 0.0011 0.5000 0.4935 [1 per cell]  2 Ni 2.73-2.76, 2 Pd 2.78
Sc 0.2442 0.0000 0.7422 [1 per cell]  2 Ni 2.75, 2 Pd 2.79-2.85
Sc 0.2466 0.5000 0.2448 [1 per cell]  4 Ni 2.73-2.77
Sc 0.4912 0.0000 0.4909 [1 per cell]  2 Ni 2.75, 2 Pd 2.78-2.80
Sc 0.4991 0.5000 0.0001 [1 per cell]  1 Ni 2.70, 3 Pd 2.78-2.79
Sc 0.7465 0.0000 0.2431 [1 per cell]  3 Ni 2.76, 1 Pd 2.77
Sc 0.7517 0.5000 0.7431 [1 per cell]  1 Ni 2.74, 3 Pd 2.79-2.85
Ni 0.0604 0.0000 0.1835 [1 per cell]  4 Bi 2.71-2.74, 4 Sc 2.71-2.76
Ni 0.0602 0.5000 0.6801 [1 per cell]  4 Bi 2.72, 4 Sc 2.74-2.76
Ni 0.3071 0.5000 0.4298 [1 per cell]  4 Bi 2.72-2.73, 4 Sc 2.73-2.75
Ni 0.5598 0.5000 0.1828 [1 per cell]  4 Sc 2.70-2.77, 4 Bi 2.70-2.74
Bi 0.1218 0.5000 0.8642 [1 per cell]  1 Ni 2.72, 3 Pd 2.80-2.81
Bi 0.1290 0.0000 0.3668 [1 per cell]  3 Ni 2.71-2.73, 1 Pd 2.82
Bi 0.3625 0.5000 0.6142 [1 per cell]  2 Ni 2.72, 2 Pd 2.81
Bi 0.3741 0.0000 0.1264 [1 per cell]  3 Ni 2.74, 1 Pd 2.82
Bi 0.6118 0.5000 0.3659 [1 per cell]  2 Ni 2.70-2.72, 2 Pd 2.82
Bi 0.6223 0.0000 0.8696 [1 per cell]  4 Pd 2.79-2.81
Bi 0.8753 0.5000 0.1269 [1 per cell]  3 Ni 2.74, 1 Pd 2.82
Bi 0.8821 0.0000 0.6208 [1 per cell]  2 Ni 2.72, 2 Pd 2.81
Pd 0.3096 0.0000 0.9352 [1 per cell]  4 Sc 2.76-2.85, 4 Bi 2.79-2.82
Pd 0.5597 0.0000 0.6794 [1 per cell]  4 Sc 2.78-2.79, 4 Bi 2.81
Pd 0.8103 0.0000 0.4307 [1 per cell]  4 Sc 2.77-2.80, 4 Bi 2.81-2.82
Pd 0.8133 0.5000 0.9357 [1 per cell]  4 Sc 2.77-2.85, 4 Bi 2.79-2.82

12.
Entry from OQMD via LeMat-Bulk: TaNiBiPd after structural relaxation (GGA-PBE).

## Properties
Total DFT energy (no corrections) ... -6.422 eV per atom

Unit cell a=6.5455 b=6.5455 c=6.5455 alpha=90.00 beta=90.00 gamma=90.00
Last column: nearest neighbours and their distance in Å.
Space group F-43m (No. 216)
One atom of each set of equivalent atoms:
Ta 0.0000 0.0000 0.0000 [4 per cell]  4 Bi 2.83, 4 Pd 2.83
Ni 0.0000 0.0000 0.5000 [4 per cell]  4 Bi 2.83, 4 Pd 2.83
Bi 0.2500 0.2500 0.2500 [4 per cell]  4 Ta 2.83, 4 Ni 2.83
Pd 0.2500 0.2500 0.7500 [4 per cell]  4 Ta 2.83, 4 Ni 2.83

13.
Entry from OQMD via LeMat-Bulk: TaNiBiPd after structural relaxation (GGA-PBE).

## Properties
Total DFT energy (no corrections) ... -6.442 eV per atom

Unit cell a=6.5579 b=6.5579 c=6.5579 alpha=90.00 beta=90.00 gamma=90.00
Last column: nearest neighbours and their distance in Å.
Space group F-43m (No. 216)
One atom of each set of equivalent atoms:
Ta 0.0000 0.0000 0.0000 [4 per cell]  4 Ni 2.84, 4 Pd 2.84
Ni 0.2500 0.2500 0.7500 [4 per cell]  4 Ta 2.84, 4 Bi 2.84
Bi 0.0000 0.0000 0.5000 [4 per cell]  4 Pd 2.84, 4 Ni 2.84
Pd 0.2500 0.2500 0.2500 [4 per cell]  4 Ta 2.84, 4 Bi 2.84

14.
Entry from OQMD via LeMat-Bulk: NiBiPdW after structural relaxation (GGA-PBE).

## Properties
Total DFT energy (no corrections) ... -6.319 eV per atom

Unit cell a=6.5029 b=6.5029 c=6.5029 alpha=90.00 beta=90.00 gamma=90.00
Last column: nearest neighbours and their distance in Å.
Space group F-43m (No. 216)
One atom of each set of equivalent atoms:
Ni 0.0000 0.0000 0.0000 [4 per cell]  4 Bi 2.82, 4 W 2.82
Bi 0.2500 0.2500 0.7500 [4 per cell]  4 Ni 2.82, 4 Pd 2.82
Pd 0.0000 0.0000 0.5000 [4 per cell]  4 W 2.82, 4 Bi 2.82
W 0.2500 0.2500 0.2500 [4 per cell]  4 Ni 2.82, 4 Pd 2.82

15.
Entry from OQMD via LeMat-Bulk: Y2NiBi2Pd after structural relaxation (GGA-PBE).

## Properties
Total DFT energy (no corrections) ... -6.113 eV per atom

Unit cell a=8.1231 b=4.6815 c=15.5303 alpha=90.00 beta=99.89 gamma=90.00
Last column: nearest neighbours and their distance in Å.
Space group Pm (No. 6)
One atom of each set of equivalent atoms:
Y 0.0000 0.0000 0.0000 [1 per cell]  1 Ni 2.82, 3 Pd 2.87-2.88
Y 0.0022 0.5000 0.4948 [1 per cell]  2 Ni 2.83-2.85, 2 Pd 2.89
Y 0.2440 0.0000 0.7430 [1 per cell]  2 Ni 2.85, 2 Pd 2.90-2.93
Y 0.2476 0.5000 0.2458 [1 per cell]  4 Ni 2.84-2.87
Y 0.4915 0.0000 0.4918 [1 per cell]  2 Ni 2.84, 2 Pd 2.89-2.90
Y 0.4993 0.5000 0.0002 [1 per cell]  1 Ni 2.81, 3 Pd 2.89
Y 0.7469 0.0000 0.2438 [1 per cell]  3 Ni 2.86, 1 Pd 2.88
Y 0.7524 0.5000 0.7440 [1 per cell]  1 Ni 2.84, 3 Pd 2.89-2.93
Ni 0.0611 0.0000 0.1845 [1 per cell]  4 Bi 2.81-2.85, 4 Y 2.82-2.86
Ni 0.0608 0.5000 0.6812 [1 per cell]  4 Bi 2.83, 4 Y 2.84-2.85
Ni 0.3086 0.5000 0.4312 [1 per cell]  4 Bi 2.83-2.85, 4 Y 2.83-2.84
Ni 0.5603 0.5000 0.1841 [1 per cell]  4 Bi 2.80-2.86, 4 Y 2.81-2.87
Bi 0.1227 0.5000 0.8663 [1 per cell]  1 Ni 2.83, 3 Pd 2.89-2.90
Bi 0.1277 0.0000 0.3678 [1 per cell]  3 Ni 2.81-2.85, 1 Pd 2.92
Bi 0.3652 0.5000 0.6163 [1 per cell]  2 Ni 2.83, 2 Pd 2.91
Bi 0.3740 0.0000 0.1259 [1 per cell]  3 Ni 2.84-2.85, 1 Pd 2.92
Bi 0.6146 0.5000 0.3673 [1 per cell]  2 Ni 2.80-2.83, 2 Pd 2.91
Bi 0.6227 0.0000 0.8706 [1 per cell]  4 Pd 2.88-2.91
Bi 0.8755 0.5000 0.1262 [1 per cell]  3 Ni 2.85-2.86, 1 Pd 2.92
Bi 0.8803 0.0000 0.6212 [1 per cell]  2 Ni 2.83, 2 Pd 2.90-2.91
Pd 0.3101 0.0000 0.9348 [1 per cell]  4 Y 2.87-2.93, 4 Bi 2.88-2.92
Pd 0.5601 0.0000 0.6807 [1 per cell]  4 Y 2.89-2.90, 4 Bi 2.91
Pd 0.8106 0.0000 0.4319 [1 per cell]  4 Y 2.88-2.90, 4 Bi 2.90-2.92
Pd 0.8126 0.5000 0.9352 [1 per cell]  4 Y 2.88-2.93, 4 Bi 2.89-2.92

16.
Entry from OQMD via LeMat-Bulk: ZrNiBiPd after structural relaxation (GGA-PBE).

## Properties
Total DFT energy (no corrections) ... -6.141 eV per atom

Unit cell a=6.6656 b=6.6656 c=6.6656 alpha=90.00 beta=90.00 gamma=90.00
Last column: nearest neighbours and their distance in Å.
Space group F-43m (No. 216)
One atom of each set of equivalent atoms:
Zr 0.0000 0.0000 0.0000 [4 per cell]  4 Ni 2.89, 4 Pd 2.89
Ni 0.2500 0.2500 0.7500 [4 per cell]  4 Bi 2.89, 4 Zr 2.89
Bi 0.0000 0.0000 0.5000 [4 per cell]  4 Pd 2.89, 4 Ni 2.89
Pd 0.2500 0.2500 0.2500 [4 per cell]  4 Zr 2.89, 4 Bi 2.89

17.
Entry from OQMD via LeMat-Bulk: PrNiBi after structural relaxation (GGA-PBE).

## Properties
Total DFT energy (no corrections) ... -5.302 eV per atom

Unit cell a=7.5332 b=7.5332 c=4.3130 alpha=90.00 beta=90.00 gamma=120.00
Last column: nearest neighbours and their distance in Å.
Space group P-62m (No. 189)
One atom of each set of equivalent atoms:
Pr 0.0000 0.6111 0.0000 [3 per cell]  5 Ni 2.93-3.17
Ni 0.0000 0.0000 0.0000 [1 per cell]  3 Pr 2.93, 6 Bi 2.99
Ni 0.3333 0.6667 0.5000 [2 per cell]  3 Bi 2.76
Bi 0.0000 0.2753 0.5000 [3 per cell]  4 Ni 2.76-2.99

18.
Entry from OQMD via LeMat-Bulk: PrNiBi after structural relaxation (GGA-PBE).

## Properties
Total DFT energy (no corrections) ... -5.195 eV per atom

Unit cell a=7.3338 b=7.3338 c=4.5785 alpha=90.00 beta=90.00 gamma=120.00
Last column: nearest neighbours and their distance in Å.
Space group P-62m (No. 189)
One atom of each set of equivalent atoms:
Pr 0.0000 0.5709 0.0000 [3 per cell]  5 Bi 3.15-3.16, 2 Ni 3.35
Ni 0.0000 0.2368 0.5000 [3 per cell]  4 Bi 2.87, 2 Ni 3.01
Bi 0.0000 0.0000 0.0000 [1 per cell]  6 Ni 2.87, 3 Pr 3.15
Bi 0.3333 0.6667 0.5000 [2 per cell]  3 Ni 2.87, 6 Pr 3.16

19.
Entry from OQMD via LeMat-Bulk: PrNiBi after structural relaxation (GGA-PBE).

## Properties
Total DFT energy (no corrections) ... -4.750 eV per atom

Unit cell a=8.5848 b=8.5848 c=3.5262 alpha=90.00 beta=90.00 gamma=120.00
Last column: nearest neighbours and their distance in Å.
Space group P-62m (No. 189)
One atom of each set of equivalent atoms:
Pr 0.0000 0.3031 0.0000 [3 per cell]  4 Bi 3.00-3.14
Ni 0.0000 0.6391 0.5000 [3 per cell]  5 Bi 3.10-3.27, 6 Pr 3.38
Bi 0.0000 0.0000 0.5000 [1 per cell]  3 Ni 3.10, 6 Pr 3.14
Bi 0.3333 0.6667 0.0000 [2 per cell]  3 Pr 3.00, 6 Ni 3.27

20.
Entry from OQMD via LeMat-Bulk: PrNiBi after structural relaxation (GGA-PBE).

## Properties
Total DFT energy (no corrections) ... -5.387 eV per atom

Unit cell a=4.6148 b=4.6148 c=7.8128 alpha=90.00 beta=90.00 gamma=120.00
Last column: nearest neighbours and their distance in Å.
Space group P6_3mc (No. 186)
One atom of each set of equivalent atoms:
Pr 0.0000 0.0000 0.0000 [2 per cell]  3 Ni 2.96, 3 Bi 3.26
Ni 0.3333 0.6667 0.3346 [2 per cell]  3 Bi 2.76, 3 Pr 2.96
Bi 0.3333 0.6667 0.7405 [2 per cell]  3 Ni 2.76